1.
Below is an optimized crystal structure of CuH2Ru2, with properties calculated at the PBE level.

Cell lengths 3.411, 3.411, 8.044 Å; angles 90.00, 90.00, 90.00 degrees
Fractional coordinates of all 10 atoms:
Cu: 0.000 0.000 0.000
Cu: 0.500 0.500 0.500
H: 0.000 0.500 0.250
H: 0.000 0.500 0.750
H: 0.500 0.000 0.250
H: 0.500 0.000 0.750
Ru: 0.000 0.000 0.342
Ru: 0.000 0.000 0.658
Ru: 0.500 0.500 0.158
Ru: 0.500 0.500 0.842

Calculated values
energy: -56.272 eV per cell
crystal system: tetragonal
M_tot: 0.000 μB per cell

=====

2.
Below is an optimized crystal structure of CsAgB2, with properties calculated at the PBE level.

Cell lengths 6.875, 6.875, 6.875 Å; angles 90.00, 90.00, 90.00 degrees
Fractional coordinates of all 16 atoms:
Cs: 0.000 0.000 0.000
Cs: 0.000 0.500 0.500
Cs: 0.500 0.000 0.500
Cs: 0.500 0.500 0.000
Ag: 0.000 0.000 0.500
Ag: 0.000 0.500 0.000
Ag: 0.500 0.000 0.000
Ag: 0.500 0.500 0.500
B: 0.250 0.250 0.250
B: 0.250 0.250 0.750
B: 0.250 0.750 0.250
B: 0.250 0.750 0.750
B: 0.750 0.250 0.250
B: 0.750 0.250 0.750
B: 0.750 0.750 0.250
B: 0.750 0.750 0.750

Calculated values
crystal system: cubic
ΔE_f: 2145.3 meV per atom
M_tot: 0.000 μB per cell
ΔE to the lowest computed polymorph: 861.4 meV per atom